A plane-wave DFT calculation with PBE with a Hubbard U was carried out for a relaxed NdCoF crystal.

Cell: 3.3920 3.3920 8.7403 Å, 90.00 90.00 90.00°
Closest atoms and distances in Å follow each position.
Positions (direct):
Nd (0.2500, 0.2500, 0.2116)  5 F 2.60-2.64, 1 Co 2.76
Nd (0.7500, 0.7500, 0.7884)  5 F 2.60-2.64, 1 Co 2.76
Co (0.2500, 0.2500, 0.5276)  4 Co 2.45
Co (0.7500, 0.7500, 0.4724)  4 Co 2.45
F (0.2500, 0.2500, 0.9139)  5 Nd 2.60-2.64, 4 F 2.83
F (0.7500, 0.7500, 0.0861)  5 Nd 2.60-2.64, 4 F 2.83

Output
- D(E_F) (states/eV/cell) = 3.5
- symmetry = P4/nmm
- final energy (hartree per atom) = -0.1936